No. 1
## Tb2HfTh (PBE)

Data for crystalline Tb2HfTh at its relaxed geometry.

Cell: 5.0081 4.8127 4.8127 Å, 90.00 90.00 90.00°
With the nearest neighbours (Å) after each atom.
Positions (direct):
Th1 0.5000 0.5000 0.5000  4 Hf 3.40, 8 Tb 3.47
Tb1 0.0000 0.0000 0.5000  4 Tb 3.40, 4 Th 3.47, 4 Hf 3.47
Tb2 0.0000 0.5000 0.0000  4 Tb 3.40, 4 Th 3.47, 4 Hf 3.47
Hf1 0.5000 0.0000 0.0000  4 Th 3.40, 8 Tb 3.47

As for the space group: P4/mmm, No. 123. The value obtained for the energy above the most stable polymorph in this dataset is 0 meV per atom.


No. 2
## TbHfTh2 (PBE)

Data for crystalline TbHfTh2 at its relaxed geometry.

Cell: 3.3644 3.3644 12.3755 Å, 82.19 82.19 60.00°
With the nearest neighbours (Å) after each atom.
Positions (direct):
Tb1 0.5000 0.5000 0.5000  6 Tb 3.36, 6 Th 3.63
Th1 0.9170 0.9170 0.2489  1 Hf 3.04, 6 Th 3.36
Th2 0.0830 0.0830 0.7511  1 Hf 3.04, 6 Th 3.36
Hf1 0.0000 0.0000 0.0000  2 Th 3.04, 6 Hf 3.36

As for the space group: R-3m, No. 166. The value obtained for the energy above the most stable polymorph in this dataset is 271 meV per atom.


No. 3
## Tb14HfTh (PBE)

Data for crystalline Tb14HfTh at its relaxed geometry.

Cell: 7.0610 7.0610 9.9834 Å, 90.00 90.00 89.98°
With the nearest neighbours (Å) after each atom.
Positions (direct):
Tb1 0.6289 0.3711 0.7572  1 Hf 3.45, 10 Tb 3.48-3.61, 1 Th 3.51
Tb2 0.6289 0.3711 0.2428  1 Hf 3.45, 10 Tb 3.48-3.61, 1 Th 3.51
Tb3 0.8751 0.6251 0.0000  8 Tb 3.48, 2 Hf 3.53, 2 Th 3.53
Tb4 0.3749 0.6251 0.5000  12 Tb 3.53-3.61
Tb5 0.3751 0.1252 0.5000  12 Tb 3.53-3.58
Tb6 0.1211 0.8789 0.2429  1 Hf 3.45, 10 Tb 3.48-3.61, 1 Th 3.51
Tb7 0.1211 0.3711 0.2428  1 Hf 3.45, 10 Tb 3.48-3.61, 1 Th 3.51
Tb8 0.8751 0.1249 0.5000  12 Tb 3.53-3.55
Tb9 0.3749 0.1249 0.0000  8 Tb 3.48, 2 Hf 3.53, 2 Th 3.53
Tb10 0.6289 0.8789 0.7572  1 Hf 3.45, 10 Tb 3.48-3.61, 1 Th 3.51
Tb11 0.8748 0.6249 0.5000  12 Tb 3.53-3.58
Tb12 0.1211 0.8789 0.7571  1 Hf 3.45, 10 Tb 3.48-3.61, 1 Th 3.51
Tb13 0.6289 0.8789 0.2428  1 Hf 3.45, 10 Tb 3.48-3.61, 1 Th 3.51
Tb14 0.1211 0.3711 0.7572  1 Hf 3.45, 10 Tb 3.48-3.61, 1 Th 3.51
Th1 0.3750 0.6250 0.0000  12 Tb 3.51-3.53
Hf1 0.8750 0.1250 0.0000  12 Tb 3.45-3.53

As for the space group: P4/mmm, No. 123.


No. 4
## TbHfTh (PBE)

Data for crystalline TbHfTh at its relaxed geometry.

Cell: 3.3659 3.3659 7.9414 Å, 102.23 102.23 90.00°
With the nearest neighbours (Å) after each atom.
Positions (direct):
Th1 0.0097 0.0097 0.0194  4 Th 3.37, 4 Hf 3.37, 4 Tb 3.70
Tb1 0.3230 0.3230 0.6460  4 Hf 3.35, 4 Tb 3.37, 4 Th 3.70
Hf1 0.6673 0.6673 0.3347  4 Tb 3.35, 4 Hf 3.37, 4 Th 3.37

As for the space group: I4mm, No. 107. The value obtained for the energy above the most stable polymorph in this dataset is 0 meV per atom.


No. 5
## Tb2HfTh (PBE)

Data for crystalline Tb2HfTh at its relaxed geometry.

Cell: 3.4306 3.4306 11.6211 Å, 81.51 81.51 60.00°
With the nearest neighbours (Å) after each atom.
Positions (direct):
Th1 0.5007 0.5007 0.4979  6 Th 3.43, 6 Tb 3.64-3.70
Hf1 0.6665 0.6665 0.0004  6 Tb 3.29-3.30, 6 Hf 3.43
Tb1 0.0765 0.0765 0.7704  3 Hf 3.29, 6 Tb 3.43
Tb2 0.2562 0.2562 0.2313  3 Hf 3.30, 6 Tb 3.43, 3 Th 3.64

As for the space group: R3m, No. 160. The value obtained for the energy above the most stable polymorph in this dataset is 16 meV per atom.


No. 6
## TbHfTh (PBE)

Data for crystalline TbHfTh at its relaxed geometry.

Cell: 3.2944 8.4756 6.2309 Å, 90.00 90.00 90.00°
With the nearest neighbours (Å) after each atom.
Positions (direct):
Hf1 0.0000 0.5000 0.0000  4 Hf 3.12-3.29, 4 Th 3.32, 2 Tb 3.37
Hf2 0.0000 0.5000 0.5000  4 Hf 3.12-3.29, 4 Th 3.32, 2 Tb 3.37
Th1 0.5000 0.2146 0.2500  2 Th 3.29, 4 Hf 3.32, 6 Tb 3.48-3.57
Th2 0.5000 0.7854 0.7500  2 Th 3.29, 4 Hf 3.32, 6 Tb 3.48-3.57
Tb1 0.0000 0.8527 0.2500  2 Tb 3.29, 2 Hf 3.37, 6 Th 3.48-3.57
Tb2 0.0000 0.1473 0.7500  2 Tb 3.29, 2 Hf 3.37, 6 Th 3.48-3.57

As for the space group: Pmma, No. 51. The value obtained for the energy above the most stable polymorph in this dataset is 161 meV per atom.


No. 7
## Tb2HfTh (PBE)

Data for crystalline Tb2HfTh at its relaxed geometry.

Cell: 4.0420 4.0420 7.1536 Å, 90.00 90.00 90.00°
With the nearest neighbours (Å) after each atom.
Positions (direct):
Hf1 0.5000 0.5000 0.0000  8 Tb 3.28, 2 Th 3.58
Th1 0.5000 0.5000 0.5000  8 Tb 3.47, 2 Hf 3.58
Tb1 0.0000 0.0000 0.2249  1 Tb 3.22, 4 Hf 3.28, 4 Th 3.47
Tb2 0.0000 0.0000 0.7751  1 Tb 3.22, 4 Hf 3.28, 4 Th 3.47

As for the space group: P4/mmm, No. 123. The value obtained for the energy above the most stable polymorph in this dataset is 129 meV per atom.


No. 8
## TbHfTh2 (PBE)

Data for crystalline TbHfTh2 at its relaxed geometry.

Cell: 5.4781 5.4781 5.4781 Å, 60.00 60.00 60.00°
With the nearest neighbours (Å) after each atom.
Positions (direct):
Th1 0.7500 0.7500 0.7500  4 Tb 3.35, 4 Hf 3.35
Th2 0.2500 0.2500 0.2500  4 Hf 3.35, 4 Tb 3.35
Tb1 0.0000 0.0000 0.0000  8 Th 3.35
Hf1 0.5000 0.5000 0.5000  8 Th 3.35

As for the space group: Fm-3m, No. 225. The value obtained for the energy above the most stable polymorph in this dataset is 70 meV per atom.


One value per record, in order, for energy: -6.525 -6.973 -5.084 -7.202 -6.509 -7.041 -6.397 -7.174 eV/atom.
One value per record, in order, for energy of formation from the pure elements: 0.533 1.532 0.849 0.397 0.596 0.880 1.048 0.728 eV/f.u..
One value per record, in order, for DOS(E_F): 4.5 6.8 20.1 3.9 6.6 4.7 7.6 5.6 states/eV/f.u..